Computed, not measured: a relaxed TeWF crystal at the PBE with a Hubbard U level of DFT.

Mass density: 7.76 g/cm³
DFT total energy: -4.5596 eV/atom

```
data_TeWF
_chemical_formula_sum 'Te2 W2 F2'
_cell_length_a 3.157
_cell_length_b 6.210
_cell_length_c 7.786
_cell_angle_alpha 111.35
_cell_angle_beta 93.36
_cell_angle_gamma 93.62
_space_group_name_H-M_alt 'P -1'
_space_group_IT_number 2
loop_
_space_group_symop_operation_xyz
'x,y,z'
'-x,-y,-z'
loop_
_atom_site_label
_atom_site_type_symbol
_atom_site_fract_x
_atom_site_fract_y
_atom_site_fract_z
Te1 Te 0.150 0.352 0.246
W1 W 0.330 0.816 0.513
F1 F 0.471 0.861 0.260
```